Entry 1:
The following is a DFT calculation (PBE) of a relaxed structure of NdSc3Zn4.

energy relative to the elements	-0.3244	eV per atom

POSCAR file:
```
NdSc3Zn4
1.0
4.836 0.000 0.000
0.000 4.836 0.000
0.000 0.000 6.978
Nd Sc Zn
1 3 4
Direct
0.000 0.000 0.000
0.000 0.000 0.500
0.500 0.500 0.000
0.500 0.500 0.500
0.000 0.500 0.273
0.000 0.500 0.727
0.500 0.000 0.273
0.500 0.000 0.727
```

---

Entry 2:
The following is a DFT calculation (PBE) of a relaxed structure of Cs3Tm3ScTe8.

formation energy without anion corrections	-1.274	eV per atom

POSCAR file:
```
Cs3Tm3ScTe8
1.0
4.340 2.506 9.247
-4.340 2.506 9.247
0.000 -5.011 9.247
Cs Tm Sc Te
3 3 1 8
Direct
0.000 0.500 0.500
0.500 0.000 0.500
0.500 0.500 0.000
0.000 0.000 0.500
0.000 0.500 0.000
0.500 0.000 0.000
0.500 0.500 0.500
0.230 0.230 0.230
0.235 0.725 0.725
0.275 0.275 0.765
0.275 0.765 0.275
0.725 0.235 0.725
0.725 0.725 0.235
0.765 0.275 0.275
0.770 0.770 0.770
```